Record 1
{
  "formula": "As3C",
  "functional": "PBE",
  "state": "optimized geometry",
  "relative_energy_ev_per_fu": 2.29,
  "energy_ev_per_atom": -4.68,
  "magnetic_moment_mub_per_cell": 0.000,
  "vol_a3_per_atom": 17.643,
  "formation_enthalpy_0k_mev_per_atom": 1112,
  "dos_ef_per_ev_cell": 1.6,
  "lattice": [[-3.036, 0.745, -1.083], [0.881, -2.419, 2.078], [-1.015, 5.069, 6.331]],
  "species": ["As", "As", "As", "C"],
  "frac_coords": [[0.000, 0.000, 0.076], [0.500, 0.500, 0.750], [0.000, 0.000, 0.424], [0.500, 0.500, 0.250]]
}

Record 2
{
  "formula": "Na8BiSb2",
  "functional": "PBE",
  "state": "optimized geometry",
  "e_form_raw_ev_per_atom": -0.37,
  "relative_energy_ev_per_fu": 0.00,
  "energy_ev_per_atom": -2.44,
  "magnetic_moment_mub_per_cell": 0.000,
  "vol_a3_per_atom": 29.279,
  "dos_ef_per_ev_cell": 7.1,
  "lattice": [[-3.286, -2.854, 2.753], [1.309, -6.268, -4.935], [6.811, 2.217, 5.612]],
  "species": ["Na", "Na", "Na", "Na", "Na", "Na", "Na", "Na", "Bi", "Sb", "Sb"],
  "frac_coords": [[0.343, 0.569, 0.685], [0.658, 0.886, 0.317], [0.836, 0.834, 0.672], [0.000, 0.292, 0.999], [0.164, 0.166, 0.328], [0.342, 0.114, 0.683], [0.657, 0.431, 0.315], [0.000, 0.708, 0.001], [0.500, 0.000, 0.000], [0.817, 0.317, 0.634], [0.183, 0.683, 0.366]]
}

Record 3
{
  "formula": "CuRe2Os",
  "functional": "PBE",
  "state": "optimized geometry",
  "relative_energy_ev_per_fu": 0.65,
  "energy_ev_per_atom": -9.70,
  "magnetic_moment_mub_per_cell": 0.000,
  "vol_a3_per_atom": 14.159,
  "formation_enthalpy_0k_mev_per_atom": 359,
  "dos_ef_per_ev_cell": 2.7,
  "lattice": [[-0.821, 2.620, -1.436], [-1.551, -1.646, -2.117], [-4.862, 0.301, 3.329]],
  "species": ["Cu", "Os", "Re", "Re"],
  "frac_coords": [[0.000, 0.000, 0.499], [0.500, 0.500, 0.728], [0.000, 0.000, 0.010], [0.500, 0.500, 0.263]]
}

Number 1 is which compound? As3C